A plane-wave DFT calculation with PBE was carried out for a geometry-optimized NbCuSiPt structure.

Results
excess energy over the best structure of this formula in the dataset = 0.000 eV/atom
crystal system = cubic
magnetization = 0.0 μB per cell

Lattice parameters (Å, degrees): 4.393 4.393 4.393 60.00 60.00 60.00
Element x y z (fractional)
Nb 0.000 0.000 0.000
Cu 0.500 0.500 0.500
Si 0.250 0.250 0.250
Pt 0.750 0.750 0.750